VASP calculation (PBEsol) on crystalline KTe3 at its relaxed geometry.

Cell lengths 5.327, 5.327, 4.246 Å; angles 90.00, 90.00, 102.10 degrees
Fractional coordinates of all 4 atoms:
K (0.000, 0.000, 0.000)
Te (0.000, 0.500, 0.500)
Te (0.500, 0.000, 0.500)
Te (0.500, 0.500, 0.000)

The total moment is 0.00 μB per formula unit. The electronic total energy comes out at -12.660 eV for the cell shown. The energy above the most stable polymorph in this dataset is 0.00 eV/f.u.

***

VASP calculation (PBEsol) on crystalline KTe2 at its relaxed geometry.

Cell lengths 10.449, 10.449, 5.026 Å; angles 90.00, 90.00, 157.08 degrees
Fractional coordinates of all 6 atoms:
K (0.115, 0.885, 0.750)
K (0.885, 0.115, 0.250)
Te (0.247, 0.753, 0.250)
Te (0.470, 0.530, 0.750)
Te (0.530, 0.470, 0.250)
Te (0.753, 0.247, 0.750)

The total moment is 0.00 μB per formula unit. The electronic total energy comes out at -19.400 eV for the cell shown. The energy above the most stable polymorph in this dataset is 0.12 eV/f.u.

***

VASP calculation (PBEsol) on crystalline KTe at its relaxed geometry.

Cell lengths 7.095, 7.095, 7.095 Å; angles 147.49, 133.31, 58.05 degrees
Fractional coordinates of all 4 atoms:
K (0.357, 0.107, 0.250)
K (0.643, 0.893, 0.750)
Te (0.102, 0.352, 0.750)
Te (0.898, 0.648, 0.250)

The total moment is 0.00 μB per formula unit. The electronic total energy comes out at -11.753 eV for the cell shown.

***

VASP calculation (PBEsol) on crystalline KTe2 at its relaxed geometry.

Cell lengths 6.284, 6.284, 7.795 Å; angles 100.85, 100.85, 53.44 degrees
Fractional coordinates of all 6 atoms:
K (0.077, 0.077, 0.296)
K (0.923, 0.923, 0.704)
Te (0.285, 0.285, 0.986)
Te (0.389, 0.389, 0.352)
Te (0.611, 0.611, 0.648)
Te (0.715, 0.715, 0.014)

The total moment is 0.00 μB per formula unit. The electronic total energy comes out at -19.401 eV for the cell shown. The energy above the most stable polymorph in this dataset is 0.12 eV/f.u.

***

VASP calculation (PBEsol) on crystalline KTe at its relaxed geometry.

Cell lengths 9.520, 9.520, 6.238 Å; angles 90.00, 90.00, 120.00 degrees
Fractional coordinates of all 12 atoms:
K (0.000, 0.325, 0.000)
K (0.000, 0.658, 0.500)
K (0.325, 0.000, 0.000)
K (0.342, 0.342, 0.500)
K (0.658, 0.000, 0.500)
K (0.675, 0.675, 0.000)
Te (0.000, 0.000, 0.274)
Te (0.000, 0.000, 0.726)
Te (0.333, 0.667, 0.228)
Te (0.333, 0.667, 0.772)
Te (0.667, 0.333, 0.228)
Te (0.667, 0.333, 0.772)

The total moment is 0.00 μB per formula unit. The electronic total energy comes out at -37.562 eV for the cell shown.

***

VASP calculation (PBEsol) on crystalline K4Te3 at its relaxed geometry.

Cell lengths 6.959, 6.959, 6.108 Å; angles 90.00, 90.00, 120.00 degrees
Fractional coordinates of all 7 atoms:
K (0.000, 0.000, 0.231)
K (0.000, 0.000, 0.769)
K (0.333, 0.667, 0.500)
K (0.667, 0.333, 0.500)
Te (0.000, 0.500, 0.000)
Te (0.500, 0.000, 0.000)
Te (0.500, 0.500, 0.000)

The total moment is 0.00 μB per formula unit. The electronic total energy comes out at -18.660 eV for the cell shown.

***

VASP calculation (PBEsol) on crystalline KTe2 at its relaxed geometry.

Cell lengths 7.032, 7.032, 7.032 Å; angles 127.25, 127.25, 77.84 degrees
Fractional coordinates of all 6 atoms:
K (0.250, 0.250, 0.000)
K (0.750, 0.750, 0.000)
Te (0.168, 0.668, 0.837)
Te (0.332, 0.168, 0.500)
Te (0.668, 0.832, 0.500)
Te (0.832, 0.332, 0.163)

The total moment is 0.00 μB per formula unit. The electronic total energy comes out at -19.643 eV for the cell shown. The energy above the most stable polymorph in this dataset is 0.00 eV/f.u.

***

VASP calculation (PBEsol) on crystalline KTe at its relaxed geometry.

Cell lengths 4.666, 4.666, 6.925 Å; angles 90.00, 90.00, 90.00 degrees
Fractional coordinates of all 4 atoms:
K (0.250, 0.250, 0.175)
K (0.750, 0.750, 0.825)
Te (0.250, 0.250, 0.646)
Te (0.750, 0.750, 0.354)

The total moment is 0.82 μB per formula unit. The electronic total energy comes out at -10.804 eV for the cell shown.

***

VASP calculation (PBEsol) on crystalline KTh2Te6 at its relaxed geometry.

Cell lengths 6.110, 11.991, 11.991 Å; angles 20.98, 90.00, 90.00 degrees
Fractional coordinates of all 9 atoms:
K (0.000, 0.000, 0.000)
Th (0.000, 0.182, 0.182)
Th (0.500, 0.825, 0.825)
Te (0.000, 0.779, 0.779)
Te (0.251, 0.607, 0.607)
Te (0.252, 0.399, 0.399)
Te (0.500, 0.227, 0.227)
Te (0.748, 0.399, 0.399)
Te (0.749, 0.607, 0.607)

The total moment is 0.00 μB per formula unit. The electronic total energy comes out at -48.198 eV for the cell shown.

***

VASP calculation (PBEsol) on crystalline K4Ti3Te9 at its relaxed geometry.

Cell lengths 8.939, 7.949, 29.315 Å; angles 90.00, 92.65, 90.00 degrees
Fractional coordinates of all 64 atoms:
K (0.067, 0.213, 0.065)
K (0.067, 0.287, 0.565)
K (0.125, 0.739, 0.765)
K (0.125, 0.761, 0.265)
K (0.391, 0.735, 0.485)
K (0.391, 0.765, 0.985)
K (0.431, 0.222, 0.183)
K (0.431, 0.278, 0.683)
K (0.569, 0.722, 0.317)
K (0.569, 0.778, 0.817)
K (0.609, 0.235, 0.015)
K (0.609, 0.265, 0.515)
K (0.875, 0.239, 0.735)
K (0.875, 0.261, 0.235)
K (0.933, 0.713, 0.435)
K (0.933, 0.787, 0.935)
Ti (0.081, 0.188, 0.371)
Ti (0.081, 0.312, 0.871)
Ti (0.252, 0.735, 0.127)
Ti (0.252, 0.765, 0.627)
Ti (0.415, 0.198, 0.382)
Ti (0.415, 0.302, 0.882)
Ti (0.585, 0.698, 0.118)
Ti (0.585, 0.802, 0.618)
Ti (0.748, 0.235, 0.373)
Ti (0.748, 0.265, 0.873)
Ti (0.919, 0.688, 0.129)
Ti (0.919, 0.812, 0.629)
Te (0.070, 0.665, 0.050)
Te (0.070, 0.835, 0.550)
Te (0.071, 0.525, 0.661)
Te (0.071, 0.975, 0.161)
Te (0.115, 0.017, 0.674)
Te (0.115, 0.483, 0.174)
Te (0.234, 0.157, 0.945)
Te (0.234, 0.343, 0.445)
Te (0.253, 0.596, 0.877)
Te (0.253, 0.904, 0.377)
Te (0.255, 0.157, 0.808)
Te (0.255, 0.343, 0.308)
Te (0.384, 0.012, 0.575)
Te (0.384, 0.488, 0.075)
Te (0.422, 0.523, 0.590)
Te (0.422, 0.977, 0.090)
Te (0.448, 0.666, 0.200)
Te (0.448, 0.834, 0.700)
Te (0.552, 0.166, 0.300)
Te (0.552, 0.334, 0.800)
Te (0.578, 0.023, 0.910)
Te (0.578, 0.477, 0.410)
Te (0.616, 0.512, 0.925)
Te (0.616, 0.988, 0.425)
Te (0.745, 0.657, 0.692)
Te (0.745, 0.843, 0.192)
Te (0.747, 0.096, 0.623)
Te (0.747, 0.404, 0.123)
Te (0.766, 0.657, 0.555)
Te (0.766, 0.843, 0.055)
Te (0.885, 0.517, 0.826)
Te (0.885, 0.983, 0.326)
Te (0.929, 0.025, 0.839)
Te (0.929, 0.475, 0.339)
Te (0.930, 0.165, 0.450)
Te (0.930, 0.335, 0.950)

The total moment is 0.00 μB per formula unit. The electronic total energy comes out at -297.550 eV for the cell shown.

***

VASP calculation (PBEsol) on crystalline KTiTe3 at its relaxed geometry.

Cell lengths 5.706, 5.706, 5.706 Å; angles 90.00, 90.00, 90.00 degrees
Fractional coordinates of all 5 atoms:
K (0.000, 0.000, 0.000)
Ti (0.500, 0.500, 0.500)
Te (0.000, 0.000, 0.500)
Te (0.000, 0.500, 0.000)
Te (0.500, 0.000, 0.000)

The total moment is 1.83 μB per formula unit. The electronic total energy comes out at -14.211 eV for the cell shown.

***

VASP calculation (PBEsol) on crystalline KTlTe2 at its relaxed geometry.

Cell lengths 7.503, 7.503, 7.503 Å; angles 113.75, 113.75, 101.21 degrees
Fractional coordinates of all 8 atoms:
K (0.000, 0.000, 0.000)
K (0.750, 0.250, 0.500)
Tl (0.250, 0.750, 0.500)
Tl (0.500, 0.500, 0.000)
Te (0.185, 0.625, 0.060)
Te (0.375, 0.435, 0.560)
Te (0.565, 0.125, 0.940)
Te (0.875, 0.815, 0.440)

The total moment is 0.00 μB per formula unit. The electronic total energy comes out at -24.975 eV for the cell shown.

***

VASP calculation (PBEsol) on crystalline KTlTe at its relaxed geometry.

Cell lengths 5.596, 5.596, 5.596 Å; angles 60.00, 60.00, 60.00 degrees
Fractional coordinates of all 3 atoms:
K (0.000, 0.000, 0.000)
Tl (0.500, 0.500, 0.500)
Te (0.250, 0.250, 0.250)

The total moment is 0.00 μB per formula unit. The electronic total energy comes out at -8.978 eV for the cell shown. The energy above the most stable polymorph in this dataset is 0.03 eV/f.u.

***

VASP calculation (PBEsol) on crystalline KTl2Te2 at its relaxed geometry.

Cell lengths 6.547, 6.547, 6.547 Å; angles 126.76, 126.76, 78.64 degrees
Fractional coordinates of all 5 atoms:
K (0.000, 0.000, 0.000)
Tl (0.352, 0.352, 0.000)
Tl (0.648, 0.648, 0.000)
Te (0.250, 0.750, 0.500)
Te (0.750, 0.250, 0.500)

The total moment is 0.00 μB per formula unit. The electronic total energy comes out at -15.309 eV for the cell shown. The energy above the most stable polymorph in this dataset is 0.14 eV/f.u.

***

VASP calculation (PBEsol) on crystalline KTlTe at its relaxed geometry.

Cell lengths 6.401, 6.401, 6.401 Å; angles 141.53, 141.53, 55.53 degrees
Fractional coordinates of all 3 atoms:
K (0.000, 0.000, 0.000)
Tl (0.304, 0.304, 0.000)
Te (0.681, 0.681, 0.000)

The total moment is 0.00 μB per formula unit. The electronic total energy comes out at -8.951 eV for the cell shown. The energy above the most stable polymorph in this dataset is 0.06 eV/f.u.

***

VASP calculation (PBEsol) on crystalline K3TlTe at its relaxed geometry.

Cell lengths 6.548, 6.548, 6.548 Å; angles 90.00, 90.00, 90.00 degrees
Fractional coordinates of all 5 atoms:
K (0.000, 0.000, 0.500)
K (0.000, 0.500, 0.000)
K (0.500, 0.000, 0.000)
Tl (0.500, 0.500, 0.500)
Te (0.000, 0.000, 0.000)

The total moment is 1.82 μB per formula unit. The electronic total energy comes out at -11.010 eV for the cell shown.

***

VASP calculation (PBEsol) on crystalline KTlTe at its relaxed geometry.

Cell lengths 4.771, 4.771, 5.727 Å; angles 90.00, 90.00, 120.00 degrees
Fractional coordinates of all 3 atoms:
K (0.000, 0.000, 0.000)
Tl (0.667, 0.333, 0.395)
Te (0.333, 0.667, 0.652)

The total moment is 0.00 μB per formula unit. The electronic total energy comes out at -9.011 eV for the cell shown. The energy above the most stable polymorph in this dataset is 0.00 eV/f.u.

***

VASP calculation (PBEsol) on crystalline KTl2Te2 at its relaxed geometry.

Cell lengths 9.026, 9.026, 3.953 Å; angles 90.00, 90.00, 90.00 degrees
Fractional coordinates of all 10 atoms:
K (0.000, 0.000, 0.000)
K (0.500, 0.500, 0.000)
Tl (0.124, 0.376, 0.000)
Tl (0.376, 0.876, 0.000)
Tl (0.624, 0.124, 0.000)
Tl (0.876, 0.624, 0.000)
Te (0.176, 0.676, 0.500)
Te (0.324, 0.176, 0.500)
Te (0.676, 0.824, 0.500)
Te (0.824, 0.324, 0.500)

The total moment is 0.00 μB per formula unit. The electronic total energy comes out at -30.820 eV for the cell shown. The energy above the most stable polymorph in this dataset is 0.04 eV/f.u.

***

VASP calculation (PBEsol) on crystalline KTl2Te2 at its relaxed geometry.

Cell lengths 8.403, 8.403, 8.403 Å; angles 146.95, 146.95, 47.43 degrees
Fractional coordinates of all 5 atoms:
K (0.000, 0.000, 0.000)
Tl (0.250, 0.750, 0.500)
Tl (0.750, 0.250, 0.500)
Te (0.400, 0.400, 0.000)
Te (0.600, 0.600, 0.000)

The total moment is 0.00 μB per formula unit. The electronic total energy comes out at -15.451 eV for the cell shown. The energy above the most stable polymorph in this dataset is 0.00 eV/f.u.

***

VASP calculation (PBEsol) on crystalline KTlTe2W at its relaxed geometry.

Cell lengths 5.935, 5.935, 5.560 Å; angles 90.00, 90.00, 90.00 degrees
Fractional coordinates of all 5 atoms:
K (0.000, 0.000, 0.000)
Tl (0.500, 0.500, 0.500)
Te (0.000, 0.500, 0.000)
Te (0.500, 0.000, 0.000)
W (0.000, 0.000, 0.500)

The total moment is 4.62 μB per formula unit. The electronic total energy comes out at -15.366 eV for the cell shown.

***

VASP calculation (PBEsol) on crystalline KTeW2 at its relaxed geometry.

Cell lengths 3.233, 9.156, 9.156 Å; angles 20.59, 90.00, 90.00 degrees
Fractional coordinates of all 4 atoms:
K (0.000, 0.000, 0.000)
Te (0.500, 0.649, 0.649)
W (0.000, 0.776, 0.776)
W (0.500, 0.343, 0.343)

The total moment is 0.00 μB per formula unit. The electronic total energy comes out at -29.953 eV for the cell shown.

***

VASP calculation (PBEsol) on crystalline KTeW3 at its relaxed geometry.

Cell lengths 4.593, 4.593, 4.593 Å; angles 90.00, 90.00, 90.00 degrees
Fractional coordinates of all 5 atoms:
K (0.000, 0.000, 0.000)
Te (0.500, 0.500, 0.500)
W (0.000, 0.000, 0.500)
W (0.000, 0.500, 0.000)
W (0.500, 0.000, 0.000)

The total moment is 0.00 μB per formula unit. The electronic total energy comes out at -27.758 eV for the cell shown.

***

VASP calculation (PBEsol) on crystalline KYTe2 at its relaxed geometry.

Cell lengths 6.544, 6.544, 6.544 Å; angles 139.72, 139.72, 58.27 degrees
Fractional coordinates of all 4 atoms:
K (0.000, 0.000, 0.000)
Y (0.250, 0.750, 0.500)
Te (0.500, 0.500, 0.000)
Te (0.750, 0.250, 0.500)

The total moment is 0.00 μB per formula unit. The electronic total energy comes out at -18.457 eV for the cell shown.

***

VASP calculation (PBEsol) on crystalline KY2Te at its relaxed geometry.

Cell lengths 3.941, 3.941, 9.110 Å; angles 90.00, 90.00, 90.00 degrees
Fractional coordinates of all 4 atoms:
K (0.000, 0.000, 0.000)
Y (0.000, 0.000, 0.415)
Y (0.500, 0.500, 0.636)
Te (0.500, 0.500, 0.273)

The total moment is 0.95 μB per formula unit. The electronic total energy comes out at -20.358 eV for the cell shown.

***

VASP calculation (PBEsol) on crystalline KYTe2 at its relaxed geometry.

Cell lengths 8.709, 8.709, 4.222 Å; angles 103.98, 103.98, 26.55 degrees
Fractional coordinates of all 4 atoms:
K (0.000, 0.000, 0.000)
Y (0.757, 0.757, 0.259)
Te (0.180, 0.180, 0.682)
Te (0.390, 0.390, 0.390)

The total moment is 0.00 μB per formula unit. The electronic total energy comes out at -19.896 eV for the cell shown.